# 1
A plane-wave DFT calculation with PBE was carried out for a relaxed structure of CaY4Cl.

a = 6.7491 Å, b = 6.7491 Å, c = 6.7491 Å
α = 60.00°, β = 60.00°, γ = 60.00°
Closest atoms and distances in Å follow each position.
Atoms (fractional coordinates):
Cl: 0.0000 0.0000 0.0000  12 Y 3.96, 4 Ca 4.13
Ca: 0.7500 0.7500 0.7500  12 Y 3.95, 4 Cl 4.13
Y: 0.3770 0.3770 0.8691  6 Y 3.32-3.43
Y: 0.8691 0.3770 0.3770  6 Y 3.32-3.43
Y: 0.3770 0.8691 0.3770  6 Y 3.32-3.43
Y: 0.3770 0.3770 0.3770  6 Y 3.32-3.43

Computed properties:
V = 217.38 Å³/cell
Space group = F-43m
N(E_F) = 1.407 states/eV per atom
Total DFT energy (no corrections) = -4.690 eV per atom
Formation energy (no corrections) = 1.56 eV per formula unit
M_tot = 0.8 μB/cell


# 2
A plane-wave DFT calculation with PBE was carried out for a relaxed structure of KWAu2.

a = 5.7151 Å, b = 5.7151 Å, c = 5.7151 Å
α = 137.18°, β = 137.18°, γ = 62.15°
Closest atoms and distances in Å follow each position.
Atoms (fractional coordinates):
Au: 0.2500 0.7500 0.5000  4 W 2.95, 4 K 3.22, 4 Au 3.22
Au: 0.0000 0.0000 0.0000  4 K 2.95, 4 W 3.22, 4 Au 3.22
W: 0.7500 0.2500 0.5000  8 Au 2.95-3.22, 4 K 3.22
K: 0.5000 0.5000 0.0000  8 Au 2.95-3.22, 4 W 3.22

Computed properties:
V = 85.20 Å³/cell
Energy relative to the elements = 1.089 eV/atom
E above lowest polymorph = 0.708 eV/atom
Space group = I-4m2
N(E_F) = 0.600 states/eV per atom
Total DFT energy (no corrections) = -4.062 eV per atom
M_tot = 3.2 μB/cell


# 3
A plane-wave DFT calculation with PBE was carried out for a relaxed structure of SrSb2Pd.

a = 5.2469 Å, b = 5.2469 Å, c = 5.2469 Å
α = 60.00°, β = 60.00°, γ = 60.00°
Closest atoms and distances in Å follow each position.
Atoms (fractional coordinates):
Sb: 0.2500 0.2500 0.2500  4 Pd 3.21, 4 Sr 3.21
Sb: 0.7500 0.7500 0.7500  4 Sr 3.21, 4 Pd 3.21
Pd: 0.5000 0.5000 0.5000  8 Sb 3.21
Sr: 0.0000 0.0000 0.0000  8 Sb 3.21

Computed properties:
V = 102.14 Å³/cell
Space group = Fm-3m
N(E_F) = 0.729 states/eV per atom
Total DFT energy (no corrections) = -4.086 eV per atom
Formation energy (no corrections) = -1.22 eV per formula unit
M_tot = 0.0 μB/cell


# 4
A plane-wave DFT calculation with PBE was carried out for a relaxed structure of NiGeRu.

a = 3.6185 Å, b = 3.6185 Å, c = 12.2523 Å
α = 90.00°, β = 90.00°, γ = 90.00°
Closest atoms and distances in Å follow each position.
Atoms (fractional coordinates):
Ni: 0.5000 0.0000 0.0000  4 Ge 2.46, 4 Ni 2.56, 4 Ru 2.71
Ni: 0.0000 0.5000 0.0000  4 Ge 2.46, 4 Ni 2.56, 4 Ru 2.71
Ni: 0.5000 0.0000 0.5000  4 Ge 2.46, 4 Ni 2.56, 4 Ru 2.71
Ni: 0.0000 0.5000 0.5000  4 Ge 2.46, 4 Ni 2.56, 4 Ru 2.71
Ge: 0.0000 0.0000 0.3639  5 Ru 2.44-2.58, 4 Ni 2.46
Ge: 0.5000 0.5000 0.1361  5 Ru 2.44-2.58, 4 Ni 2.46
Ge: 0.5000 0.5000 0.8639  5 Ru 2.44-2.58, 4 Ni 2.46
Ge: 0.0000 0.0000 0.6361  5 Ru 2.44-2.58, 4 Ni 2.46
Ru: 0.0000 0.0000 0.1646  5 Ge 2.44-2.58, 4 Ni 2.71
Ru: 0.5000 0.5000 0.6646  5 Ge 2.44-2.58, 4 Ni 2.71
Ru: 0.0000 0.0000 0.8354  5 Ge 2.44-2.58, 4 Ni 2.71
Ru: 0.5000 0.5000 0.3354  5 Ge 2.44-2.58, 4 Ni 2.71

Computed properties:
V = 160.43 Å³/cell
Energy relative to the elements = -0.173 eV/atom
Space group = I4/mmm
N(E_F) = 0.784 states/eV per atom
Total DFT energy (no corrections) = -6.731 eV per atom
M_tot = 0.0 μB/cell


# 5
A plane-wave DFT calculation with PBE was carried out for a relaxed structure of RbHg2O.

a = 8.6279 Å, b = 8.6279 Å, c = 6.7128 Å
α = 50.01°, β = 50.01°, γ = 90.00°
Closest atoms and distances in Å follow each position.
Atoms (fractional coordinates):
Rb: 0.0000 0.0000 0.0000  2 O 2.80
Rb: 0.7500 0.2500 0.5000  2 O 2.80
Hg: 0.2171 0.6250 0.2500  2 O 2.65
Hg: 0.3750 0.4671 0.7500  2 O 2.65
Hg: 0.5329 0.1250 0.2500  2 O 2.65
Hg: 0.8750 0.7829 0.7500  2 O 2.65
O: 0.5000 0.5000 0.0000  4 Hg 2.65, 2 Rb 2.80
O: 0.2500 0.7500 0.5000  4 Hg 2.65, 2 Rb 2.80

Computed properties:
V = 208.45 Å³/cell
Space group = I-42d
N(E_F) = 0.600 states/eV per atom
Total DFT energy (no corrections) = -1.896 eV per atom
Formation energy (no corrections) = -1.05 eV per formula unit
M_tot = 0.0 μB/cell


# 6
A plane-wave DFT calculation with PBE was carried out for a relaxed structure of PbAu2C.

a = 4.7381 Å, b = 4.7381 Å, c = 4.7381 Å
α = 60.00°, β = 60.00°, γ = 60.00°
Closest atoms and distances in Å follow each position.
Atoms (fractional coordinates):
Au: 0.7500 0.7500 0.7500  4 Pb 2.90, 4 C 2.90
Au: 0.2500 0.2500 0.2500  4 Pb 2.90, 4 C 2.90
Pb: 0.5000 0.5000 0.5000  8 Au 2.90
C: 0.0000 0.0000 0.0000  8 Au 2.90

Computed properties:
V = 75.21 Å³/cell
Energy relative to the elements = 1.439 eV/atom
E above lowest polymorph = 0.685 eV/atom
Space group = Fm-3m
N(E_F) = 0.573 states/eV per atom
Total DFT energy (no corrections) = -3.433 eV per atom
M_tot = 0.0 μB/cell


# 7
A plane-wave DFT calculation with PBE was carried out for a relaxed structure of TlF4.

a = 6.5132 Å, b = 6.5132 Å, c = 6.5132 Å
α = 60.00°, β = 60.00°, γ = 60.00°
Closest atoms and distances in Å follow each position.
Atoms (fractional coordinates):
F: 0.1311 0.1311 0.1311  1 Tl 2.09
F: 0.6189 0.6189 0.6189  1 Tl 2.09
F: 0.1311 0.6068 0.1311  1 Tl 2.09
F: 0.6189 0.1432 0.6189  1 Tl 2.09
F: 0.6068 0.1311 0.1311  1 Tl 2.09
F: 0.1311 0.1311 0.6068  1 Tl 2.09
F: 0.6189 0.6189 0.1432  1 Tl 2.09
F: 0.1432 0.6189 0.6189  1 Tl 2.09
Tl: 0.7500 0.7500 0.7500  4 F 2.09
Tl: 0.0000 0.0000 0.0000  4 F 2.09

Computed properties:
V = 195.38 Å³/cell
E above lowest polymorph = 0.277 eV/atom
Space group = Fd-3m
N(E_F) = 1.952 states/eV per atom
Total DFT energy (no corrections) = -2.950 eV per atom
Formation energy (no corrections) = -4.90 eV per formula unit
M_tot = 2.0 μB/cell


# 8
A plane-wave DFT calculation with PBE was carried out for a relaxed structure of ZrScOs.

a = 6.4056 Å, b = 6.4056 Å, c = 7.8517 Å
α = 114.29°, β = 114.28°, γ = 89.53°
Closest atoms and distances in Å follow each position.
Atoms (fractional coordinates):
Zr: 0.6603 0.0853 0.2455  4 Os 2.74-2.75
Zr: 0.4102 0.3353 0.7455  4 Os 2.74-2.75
Zr: 0.9147 0.3398 0.7545  4 Os 2.74-2.75
Zr: 0.6647 0.5898 0.2545  4 Os 2.74-2.75
Sc: 0.1604 0.0854 0.2457  4 Os 2.78-2.83
Sc: 0.9146 0.8397 0.7543  4 Os 2.78-2.83
Sc: 0.1646 0.5897 0.2543  4 Os 2.78-2.83
Sc: 0.4103 0.8353 0.7457  4 Os 2.78-2.83
Os: 0.2958 0.2209 0.0000  4 Zr 2.74-2.75, 4 Sc 2.78-2.83
Os: 0.5458 0.9709 0.5000  4 Zr 2.74-2.75, 4 Sc 2.78-2.83
Os: 0.0291 0.4542 0.5000  4 Zr 2.74-2.75, 4 Sc 2.78-2.83
Os: 0.7791 0.7042 0.0000  4 Zr 2.74-2.75, 4 Sc 2.78-2.83

Computed properties:
V = 262.61 Å³/cell
Energy relative to the elements = -0.241 eV/atom
E above lowest polymorph = 0.060 eV/atom
Space group = Fddd
N(E_F) = 0.992 states/eV per atom
Total DFT energy (no corrections) = -8.944 eV per atom
M_tot = 0.0 μB/cell


# 9
A plane-wave DFT calculation with PBE was carried out for a relaxed structure of LiRe3Mo.

a = 4.1435 Å, b = 4.1435 Å, c = 4.1435 Å
α = 90.00°, β = 90.00°, γ = 90.00°
Closest atoms and distances in Å follow each position.
Atoms (fractional coordinates):
Re: 0.0000 0.0000 0.5000  2 Li 2.07
Re: 0.0000 0.5000 0.0000  2 Li 2.07
Re: 0.5000 0.0000 0.0000  2 Li 2.07
Mo: 0.5000 0.5000 0.5000  12 Re 2.93
Li: 0.0000 0.0000 0.0000  6 Re 2.07

Computed properties:
V = 71.14 Å³/cell
Energy relative to the elements = 1.195 eV/atom
E above lowest polymorph = 0.000 eV/atom
Space group = Pm-3m
N(E_F) = 1.059 states/eV per atom
Total DFT energy (no corrections) = -8.823 eV per atom
M_tot = 0.0 μB/cell


# 10
A plane-wave DFT calculation with PBE was carried out for a relaxed structure of CaMgTe2I.

a = 5.4826 Å, b = 5.4826 Å, c = 5.8047 Å
α = 90.00°, β = 90.00°, γ = 90.00°
Closest atoms and distances in Å follow each position.
Atoms (fractional coordinates):
Te: 0.5000 0.0000 0.0000  2 Mg 2.74
Te: 0.0000 0.5000 0.0000  2 Mg 2.74
Ca: 0.5000 0.5000 0.5000  4 I 3.88, 8 Te 3.99
Mg: 0.0000 0.0000 0.0000  4 Te 2.74, 2 I 2.90
I: 0.0000 0.0000 0.5000  2 Mg 2.90

Computed properties:
V = 174.48 Å³/cell
E above lowest polymorph = 0.000 eV/atom
Space group = P4/mmm
N(E_F) = 0.610 states/eV per atom
Total DFT energy (no corrections) = -2.902 eV per atom
Formation energy (no corrections) = -3.08 eV per formula unit
M_tot = 0.0 μB/cell


# 11
A plane-wave DFT calculation with PBE was carried out for a relaxed structure of CaGa3Au10.

a = 9.2607 Å, b = 9.2604 Å, c = 9.2606 Å
α = 60.00°, β = 60.00°, γ = 60.00°
Closest atoms and distances in Å follow each position.
Atoms (fractional coordinates):
Au: 0.3483 0.0000 0.6517  2 Ga 2.55, 1 Au 2.81
Au: 0.6517 0.0000 0.0000  2 Ga 2.55, 1 Au 2.81
Au: 0.6162 0.6162 0.1514  3 Ga 2.68
Au: 0.0000 0.3483 0.0000  2 Ga 2.55, 1 Au 2.81
Au: 0.3838 0.3838 0.3838  3 Ga 2.68
Au: 0.6162 0.6162 0.6162  3 Ga 2.68
Au: 0.0000 0.6517 0.0000  2 Ga 2.55, 1 Au 2.81
Au: 0.0000 0.0000 0.6517  2 Ga 2.55, 1 Au 2.81
Au: 0.6517 0.0000 0.3483  2 Ga 2.55, 1 Au 2.81
Au: 0.6162 0.1514 0.6162  3 Ga 2.68
Au: 0.0000 0.3483 0.6517  2 Ga 2.55, 1 Au 2.81
Au: 0.1514 0.6162 0.6162  3 Ga 2.68
Au: 0.3838 0.3838 0.8486  3 Ga 2.68
Au: 0.3838 0.8486 0.3838  3 Ga 2.68
Au: 0.3483 0.6517 0.0000  2 Ga 2.55, 1 Au 2.81
Au: 0.8486 0.3838 0.3838  3 Ga 2.68
Au: 0.6517 0.3483 0.0000  2 Ga 2.55, 1 Au 2.81
Au: 0.0000 0.0000 0.3483  2 Ga 2.55, 1 Au 2.81
Au: 0.0000 0.6517 0.3483  2 Ga 2.55, 1 Au 2.81
Au: 0.3483 0.0000 0.0000  2 Ga 2.55, 1 Au 2.81
Ga: 0.2616 0.7384 0.7384  8 Au 2.55-2.68
Ga: 0.2616 0.7384 0.2616  8 Au 2.55-2.68
Ga: 0.2616 0.2616 0.7384  8 Au 2.55-2.68
Ga: 0.7384 0.7384 0.2616  8 Au 2.55-2.68
Ga: 0.7384 0.2616 0.7384  8 Au 2.55-2.68
Ga: 0.7384 0.2616 0.2616  8 Au 2.55-2.68
Ca: 0.7500 0.7500 0.7500  4 Au 3.04
Ca: 0.2500 0.2500 0.2500  4 Au 3.04

Computed properties:
V = 561.57 Å³/cell
Energy relative to the elements = -0.179 eV/atom
Space group = Fm-3m
N(E_F) = 0.174 states/eV per atom
Total DFT energy (no corrections) = -3.311 eV per atom
M_tot = 0.0 μB/cell